Entry 1:
{"formula": "Pm3Ge4Au2", "functional": "PBE-GGA", "state": "relaxed", "space_group": "C2/m (12)", "final_energy_ev_per_atom": -5.143, "crystal_system": "monoclinic", "lattice_angstrom": [[5.5680, -2.2059, 0.0000], [5.5680, 2.2059, 0.0000], [-1.9272, 0.0000, 8.3157]], "species": ["Pm", "Pm", "Pm", "Ge", "Ge", "Ge", "Ge", "Au", "Au"], "frac_coords": [[0.6625, 0.6625, 0.1710], [0.3375, 0.3375, 0.8290], [0.0000, 0.0000, 0.5000], [0.0518, 0.0518, 0.8844], [0.2861, 0.2861, 0.4543], [0.9482, 0.9482, 0.1156], [0.7139, 0.7139, 0.5457], [0.3812, 0.3812, 0.2137], [0.6188, 0.6188, 0.7863]]}

---

Entry 2:
{"formula": "Y4Ta2Sn3C3", "functional": "PBE-GGA", "state": "relaxed", "space_group": "C2/c (15)", "final_energy_ev_per_atom": -8.003, "crystal_system": "monoclinic", "lattice_angstrom": [[-3.0528, 4.6157, 2.4397], [-5.3648, -1.0215, 2.5983], [9.6413, -3.6398, 11.1846]], "species": ["Ta", "Ta", "Ta", "Ta", "Y", "Y", "Y", "Y", "Y", "Y", "Y", "Y", "Sn", "Sn", "Sn", "Sn", "Sn", "Sn", "C", "C", "C", "C", "C", "C"], "frac_coords": [[0.4754, 0.6511, 0.9277], [0.5246, 0.3489, 0.0723], [0.3489, 0.5246, 0.5723], [0.6511, 0.4754, 0.4277], [0.6985, 0.8764, 0.5930], [0.0423, 0.1886, 0.5929], [0.3015, 0.1236, 0.4070], [0.8114, 0.9577, 0.9071], [0.1886, 0.0423, 0.0929], [0.1236, 0.3015, 0.9070], [0.9577, 0.8114, 0.4071], [0.8764, 0.6985, 0.0930], [0.4184, 0.2929, 0.7533], [0.5816, 0.7071, 0.2467], [0.8647, 0.1353, 0.2500], [0.1353, 0.8647, 0.7500], [0.2929, 0.4184, 0.2533], [0.7071, 0.5816, 0.7467], [0.5000, 0.0000, 0.0000], [0.2052, 0.6474, 0.9998], [0.3526, 0.7948, 0.5002], [0.0000, 0.5000, 0.5000], [0.6474, 0.2052, 0.4998], [0.7948, 0.3526, 0.0002]]}

---

Entry 3:
{"formula": "Ta2Nb5Co6", "functional": "PBE-GGA", "state": "relaxed", "space_group": "R-3m (166)", "final_energy_ev_per_atom": -9.171, "polymorph_energy_kj_per_mol_atoms": 1.6, "crystal_system": "trigonal", "delta_e_f_kj_per_mol_atoms": -17.9, "lattice_angstrom": [[2.4851, 1.4348, 8.7012], [-2.4851, 1.4348, 8.7012], [0.0000, -2.8696, 8.7012]], "species": ["Nb", "Nb", "Nb", "Nb", "Nb", "Co", "Co", "Co", "Co", "Co", "Co", "Ta", "Ta"], "frac_coords": [[0.5494, 0.5494, 0.5494], [0.8338, 0.8338, 0.8338], [0.0000, 0.0000, 0.0000], [0.1662, 0.1662, 0.1662], [0.4506, 0.4506, 0.4506], [0.0928, 0.0928, 0.5806], [0.5806, 0.0928, 0.0928], [0.9072, 0.4194, 0.9072], [0.9072, 0.9072, 0.4194], [0.4194, 0.9072, 0.9072], [0.0928, 0.5806, 0.0928], [0.6539, 0.6539, 0.6539], [0.3461, 0.3461, 0.3461]]}

---

Entry 4:
{"formula": "LiNbOsPb", "functional": "PBE-GGA", "state": "relaxed", "space_group": "F-43m (216)", "final_energy_ev_per_atom": -6.496, "polymorph_energy_kj_per_mol_atoms": 21.2, "crystal_system": "cubic", "lattice_angstrom": [[0.0000, 3.2480, 3.2480], [3.2480, 0.0000, 3.2480], [3.2480, 3.2480, 0.0000]], "species": ["Os", "Pb", "Li", "Nb"], "frac_coords": [[0.0000, 0.0000, 0.0000], [0.5000, 0.5000, 0.5000], [0.7500, 0.7500, 0.7500], [0.2500, 0.2500, 0.2500]]}

---

Entry 5:
{"formula": "GaPd2Au", "functional": "PBE-GGA", "state": "relaxed", "space_group": "F-43m (216)", "final_energy_ev_per_atom": -4.478, "crystal_system": "cubic", "lattice_angstrom": [[-1.4393, -3.6876, 2.1060], [-1.7095, 0.3022, 4.1342], [-4.3890, -0.6343, 0.6631]], "species": ["Ga", "Au", "Pd", "Pd"], "frac_coords": [[0.5000, 0.5000, 0.5000], [0.2500, 0.2500, 0.2500], [0.7500, 0.7500, 0.7500], [0.0000, 0.0000, 0.0000]]}

---

Entry 6:
{"formula": "Tc2BiAu", "functional": "PBE-GGA", "state": "relaxed", "space_group": "F-43m (216)", "final_energy_ev_per_atom": -6.276, "crystal_system": "cubic", "lattice_angstrom": [[-2.3252, -0.6638, 4.0268], [-4.5509, -1.1599, -0.0796], [-1.3439, -4.3234, 1.2507]], "species": ["Au", "Bi", "Tc", "Tc"], "frac_coords": [[0.2500, 0.2500, 0.2500], [0.5000, 0.5000, 0.5000], [0.7500, 0.7500, 0.7500], [0.0000, 0.0000, 0.0000]]}

---

Entry 7:
{"formula": "Pr2Pb2O5", "functional": "PBE-GGA", "state": "relaxed", "space_group": "P4/mmm (123)", "final_energy_ev_per_atom": -6.551, "crystal_system": "tetragonal", "lattice_angstrom": [[-1.6951, -6.4973, -5.5988], [3.6860, -2.0797, 1.2975], [-2.2961, -2.1089, 3.1426]], "species": ["O", "O", "O", "O", "O", "Pr", "Pr", "Pb", "Pb"], "frac_coords": [[0.5000, 0.5000, 0.5000], [0.1727, 0.0000, 0.5000], [0.1727, 0.5000, 0.0000], [0.8273, 0.5000, 0.0000], [0.8273, 0.0000, 0.5000], [0.2407, 0.5000, 0.5000], [0.7593, 0.5000, 0.5000], [0.0000, 0.0000, 0.0000], [0.5000, 0.0000, 0.0000]]}

---

Entry 8:
{"formula": "NiMo3", "functional": "PBE-GGA", "state": "relaxed", "space_group": "P6_3/mmc (194)", "final_energy_ev_per_atom": -9.369, "crystal_system": "hexagonal", "delta_e_f_kj_per_mol_atoms": 15.4, "lattice_angstrom": [[5.5307, 0.0000, 0.0000], [-2.7653, 4.7897, 0.0000], [0.0000, 0.0000, 4.4195]], "species": ["Mo", "Mo", "Mo", "Mo", "Mo", "Mo", "Ni", "Ni"], "frac_coords": [[0.6703, 0.8351, 0.2500], [0.3297, 0.1649, 0.7500], [0.1649, 0.3297, 0.2500], [0.8351, 0.1649, 0.7500], [0.1649, 0.8351, 0.2500], [0.8351, 0.6703, 0.7500], [0.3333, 0.6667, 0.7500], [0.6667, 0.3333, 0.2500]]}